# La2ZnHIr

Crystalline La2ZnHIr at its relaxed geometry (PBE, the Alexandria database).

Geometry as POSCAR:
```
La2ZnHIr
1.0
5.020 0.000 0.000
0.000 5.020 0.000
0.000 0.000 3.901
H Zn Ir La
1 1 1 2
Cartesian
0.000 0.000 0.000
0.000 0.000 1.950
2.510 2.510 1.950
0.000 2.510 0.000
2.510 0.000 0.000
```

SG ... P4/mmm
Offset from the most stable computed form ... 0.051 eV per atom
Total magnetic moment ... 0.00 μB per formula unit

# LaZnH6Ir2

Crystalline LaZnH6Ir2 at its relaxed geometry (PBE, the Alexandria database).

Geometry as POSCAR:
```
LaZnH6Ir2
1.0
-3.406 1.204 2.806
-4.234 -1.566 -0.739
-1.499 -4.423 3.806
La Zn H Ir
1 1 6 2
Cartesian
0.000 0.000 0.000
-4.569 -2.392 2.937
-3.809 -4.400 2.830
-3.388 -2.995 4.628
-3.603 -0.996 1.619
-5.330 -0.385 3.043
-5.751 -1.790 1.245
-5.536 -3.789 4.254
-6.987 -3.041 4.008
-2.151 -1.744 1.865
```

SG ... R-3m
Total magnetic moment ... 0.00 μB per formula unit

# Li4H7Ir

Crystalline Li4H7Ir at its relaxed geometry (PBE, the Alexandria database).

Geometry as POSCAR:
```
Li4H7Ir
1.0
3.307 0.000 0.000
1.654 6.680 1.016
1.654 1.321 4.996
Li H Ir
4 7 1
Cartesian
3.307 2.843 3.553
3.307 5.158 2.459
4.961 5.706 4.855
1.654 2.294 1.157
4.961 6.536 2.699
1.654 1.465 3.313
1.654 5.005 0.941
4.961 2.995 5.071
3.307 4.664 4.241
1.654 0.000 0.000
3.307 3.336 1.771
0.000 0.000 0.000
```

SG ... C2/m
Total magnetic moment ... 0.03 μB per formula unit

# LiH3Ir

Crystalline LiH3Ir at its relaxed geometry (PBE, the Alexandria database).

Geometry as POSCAR:
```
LiH3Ir
1.0
-0.744 3.134 1.259
-1.938 0.660 -2.787
-2.766 -1.305 1.614
H Ir Li
3 1 1
Cartesian
-0.969 0.330 -1.394
-1.383 -0.653 0.807
-0.372 1.567 0.629
0.000 0.000 0.000
-2.724 1.244 0.043
```

SG ... Pm-3m
Offset from the most stable computed form ... 0.000 eV per atom
Total magnetic moment ... 0.00 μB per formula unit

# Li2HIr2

Crystalline Li2HIr2 at its relaxed geometry (PBE, the Alexandria database).

Geometry as POSCAR:
```
Li2HIr2
1.0
5.031 0.000 0.000
0.000 5.031 0.000
0.000 0.000 4.771
H Ir Li
2 4 4
Cartesian
0.000 0.000 0.000
2.515 2.515 0.000
0.899 3.414 2.386
3.414 4.132 2.386
4.132 1.616 2.386
1.616 0.899 2.386
1.645 4.160 0.000
4.160 3.386 0.000
3.386 0.870 0.000
0.870 1.645 0.000
```

SG ... P4/mbm
Offset from the most stable computed form ... 0.000 eV per atom
Total magnetic moment ... 0.00 μB per formula unit

# Li2H3Ir

Crystalline Li2H3Ir at its relaxed geometry (PBE, the Alexandria database).

Geometry as POSCAR:
```
Li2H3Ir
1.0
3.833 0.000 0.000
0.000 5.794 -0.007
-1.916 -1.454 4.301
Li H Ir
4 6 2
Cartesian
1.916 2.896 1.387
1.916 0.000 1.390
0.000 4.340 2.904
0.000 1.444 2.907
1.916 1.448 -0.002
1.916 4.345 -0.005
0.000 -0.001 1.112
1.916 1.444 3.186
0.000 2.896 1.108
1.916 4.341 3.182
0.000 4.345 -0.005
3.833 1.448 -0.002
```

SG ... C2/m
Total magnetic moment ... 0.00 μB per formula unit

# LiH3Ir

Crystalline LiH3Ir at its relaxed geometry (PBE, the Alexandria database).

Geometry as POSCAR:
```
LiH3Ir
1.0
-2.601 1.807 0.044
-1.768 -2.527 -0.722
-0.377 -0.617 3.083
H Ir Li
3 1 1
Cartesian
-0.884 -1.263 -0.361
-0.188 -0.309 1.542
-1.300 0.903 0.022
-2.372 -0.668 1.203
0.000 0.000 0.000
```

SG ... Pm-3m
Offset from the most stable computed form ... 0.758 eV per atom
Total magnetic moment ... 0.00 μB per formula unit

# Li2H7Ir2

Crystalline Li2H7Ir2 at its relaxed geometry (PBE, the Alexandria database).

Geometry as POSCAR:
```
Li2H7Ir2
1.0
-0.522 -4.288 -0.853
2.279 -0.989 3.572
-3.603 0.586 2.461
Li H Ir
2 7 2
Cartesian
-2.010 -3.320 3.014
0.164 -1.370 2.166
-1.770 -4.235 1.245
-2.138 -2.306 4.739
-0.076 -0.456 3.935
0.292 -2.384 0.441
0.000 0.000 0.000
-0.244 -2.639 3.653
-1.602 -2.051 1.527
0.944 -3.989 3.594
-2.790 -0.701 1.586
```

SG ... Cmmm
Total magnetic moment ... 0.00 μB per formula unit

# Li3H6Ir

Crystalline Li3H6Ir at its relaxed geometry (PBE, the Alexandria database).

Geometry as POSCAR:
```
Li3H6Ir
1.0
-4.034 0.473 2.489
2.418 -0.975 4.104
-2.750 7.090 3.306
Li H Ir
6 12 2
Cartesian
0.664 0.920 5.383
-0.808 -0.251 3.297
-5.029 5.668 4.517
-1.748 4.883 5.277
-3.392 3.782 2.897
-2.618 1.705 4.622
-0.630 0.243 1.522
-4.221 3.310 4.540
-3.603 5.069 5.947
-0.763 1.519 3.952
-0.145 3.278 5.359
-3.736 6.345 8.377
-1.713 3.671 3.670
-5.450 6.796 6.441
-3.218 1.923 2.614
-1.148 4.665 7.285
1.084 -0.208 3.458
-2.653 2.917 6.230
-0.166 3.057 3.705
0.000 0.000 0.000
```

SG ... P2_1/c
Offset from the most stable computed form ... 0.033 eV per atom
Total magnetic moment ... 0.06 μB per formula unit

# Li2H5Ir

Crystalline Li2H5Ir at its relaxed geometry (PBE, the Alexandria database).

Geometry as POSCAR:
```
Li2H5Ir
1.0
0.072 -1.786 -4.118
4.323 1.050 0.689
-1.672 -2.690 3.054
Li H Ir
2 5 1
Cartesian
0.323 -2.430 -1.409
2.449 -1.005 0.995
3.335 0.366 -0.486
0.283 -1.526 0.649
2.485 -1.908 -1.061
1.122 -1.112 -2.992
1.550 -3.225 0.545
0.037 -0.007 -0.030
```

SG ... Cm
Total magnetic moment ... 0.00 μB per formula unit

# Li3H3Ir

Crystalline Li3H3Ir at its relaxed geometry (PBE, the Alexandria database).

Geometry as POSCAR:
```
Li3H3Ir
1.0
-3.399 -0.537 -2.331
-1.755 -4.360 3.564
-1.957 4.860 1.735
Li H Ir
6 6 2
Cartesian
-3.223 0.657 2.697
-1.953 1.507 0.648
-2.971 3.701 1.627
-3.888 -0.694 0.272
-5.159 -1.544 2.321
-4.141 -3.738 1.342
-4.990 0.401 1.626
-3.813 1.193 -0.273
-4.571 3.516 0.298
-2.122 -0.438 1.342
-3.299 -1.230 3.242
-2.540 -3.553 2.670
-4.747 1.912 0.925
-2.364 -1.949 2.044
```

SG ... P2_1/m
Total magnetic moment ... 0.00 μB per formula unit

# Li2HIr2

Crystalline Li2HIr2 at its relaxed geometry (PBE, the Alexandria database).

Geometry as POSCAR:
```
Li2HIr2
1.0
3.474 0.000 0.000
0.000 3.474 0.000
1.737 1.737 7.261
H Ir Li
1 2 2
Cartesian
0.000 0.000 0.000
3.474 1.737 3.630
1.737 3.474 3.630
1.737 1.737 1.382
3.474 3.474 5.879
```

SG ... I4/mmm
Offset from the most stable computed form ... 0.213 eV per atom
Total magnetic moment ... 0.00 μB per formula unit

# Li3H6Ir

Crystalline Li3H6Ir at its relaxed geometry (PBE, the Alexandria database).

Geometry as POSCAR:
```
Li3H6Ir
1.0
4.702 0.000 0.000
0.000 8.405 0.000
0.000 0.000 8.515
Li H Ir
12 24 4
Cartesian
1.176 4.578 7.396
1.176 0.376 5.376
3.527 3.827 1.119
3.527 8.029 3.139
1.176 7.565 8.290
1.176 3.362 4.483
3.527 0.840 0.225
3.527 5.043 4.032
1.176 6.108 2.144
1.176 1.906 2.114
3.527 2.297 6.372
3.527 6.499 6.401
2.349 7.141 4.521
0.002 2.939 8.251
4.700 1.264 3.994
2.353 5.466 0.264
2.353 1.264 3.994
4.700 5.466 0.264
0.002 7.141 4.521
2.349 2.939 8.251
2.327 5.053 5.736
0.024 0.850 7.037
4.678 3.352 2.779
2.375 7.555 1.478
2.375 3.352 2.779
4.678 7.555 1.478
0.024 5.053 5.736
2.327 0.850 7.037
1.176 5.170 3.716
1.176 0.968 0.542
3.527 3.235 4.800
3.527 7.438 7.973
1.176 6.979 6.507
1.176 2.776 6.266
3.527 1.426 2.008
3.527 5.629 2.249
1.176 6.095 5.106
1.176 1.892 7.666
3.527 2.310 3.409
3.527 6.513 0.849
```

SG ... Pnma
Offset from the most stable computed form ... 0.000 eV per atom
Total magnetic moment ... 0.00 μB per formula unit

# Li3H6Ir

Crystalline Li3H6Ir at its relaxed geometry (PBE, the Alexandria database).

Geometry as POSCAR:
```
Li3H6Ir
1.0
-3.620 2.527 3.292
-3.469 0.363 -4.261
-2.041 -4.928 1.371
Li H Ir
6 12 2
Cartesian
-6.321 -2.268 -1.455
-6.844 0.445 0.427
-3.004 0.444 -1.474
-6.127 -2.482 1.876
-2.287 -2.482 -0.026
-2.810 0.231 1.856
-4.443 0.704 -2.940
-4.897 -3.010 -2.761
-5.708 -0.508 -0.912
-5.952 2.285 0.103
-5.200 -2.568 0.172
-3.549 -1.434 -1.064
-5.582 -0.604 1.466
-3.930 0.530 0.230
-3.178 -4.322 0.299
-3.423 -1.530 1.313
-4.234 0.973 3.162
-4.688 -2.741 3.341
0.000 0.000 0.000
-4.565 -1.019 0.201
```

SG ... R-3
Offset from the most stable computed form ... 0.025 eV per atom
Total magnetic moment ... 0.07 μB per formula unit

# LiH3Ir

Crystalline LiH3Ir at its relaxed geometry (PBE, the Alexandria database).

Geometry as POSCAR:
```
LiH3Ir
1.0
-3.739 -1.720 3.222
1.643 -5.388 0.279
2.282 1.771 4.844
Li H Ir
4 12 4
Cartesian
0.734 -5.527 1.270
-0.548 0.189 7.075
1.138 -1.002 4.155
-0.952 -4.335 4.190
-0.560 -4.464 2.323
-1.506 -6.023 4.899
0.747 -0.873 6.023
1.692 0.685 3.446
-0.480 -2.573 7.363
-0.940 -0.686 4.467
0.667 -2.764 0.982
1.127 -4.652 3.878
1.872 -2.707 4.883
0.256 -0.960 2.369
-1.686 -2.631 3.463
-0.070 -4.378 5.977
0.390 -2.765 6.049
-1.930 -1.840 4.923
-0.203 -2.573 2.296
2.117 -3.498 3.423
```

SG ... C2/c
Offset from the most stable computed form ... 0.110 eV per atom
Total magnetic moment ... 0.00 μB per formula unit

# Li3H9Ir2

Crystalline Li3H9Ir2 at its relaxed geometry (PBE, the Alexandria database).

Geometry as POSCAR:
```
Li3H9Ir2
1.0
-0.965 3.164 3.192
-3.138 -3.168 -1.119
4.637 -7.831 9.165
Li H Ir
6 18 4
Cartesian
3.478 -5.873 6.874
1.159 -1.958 2.291
2.625 -6.233 10.283
-2.091 -1.602 0.955
-0.418 -4.428 4.263
0.951 -3.406 6.975
2.969 -4.302 8.474
0.961 -4.304 9.488
1.434 -5.852 7.926
-2.435 -3.532 2.765
-0.428 -3.530 1.751
-0.900 -1.982 3.312
3.005 -7.852 8.693
1.121 -7.853 9.644
1.564 -9.306 8.179
-2.472 0.017 2.546
-0.588 0.019 1.594
-1.031 1.472 3.060
-0.806 -2.796 5.839
1.078 -2.795 4.887
0.635 -1.342 6.353
1.339 -5.038 5.400
-0.545 -5.040 6.351
-0.102 -6.493 4.886
-0.981 -0.143 3.155
1.515 -7.691 8.083
0.613 -6.169 6.301
-0.080 -1.665 4.937
```

SG ... P6_3/mmc
Total magnetic moment ... 0.00 μB per formula unit

# Li3MgH6Ir2

Crystalline Li3MgH6Ir2 at its relaxed geometry (PBE, the Alexandria database).

Geometry as POSCAR:
```
Li3MgH6Ir2
1.0
4.543 0.000 0.000
-2.272 3.934 0.000
0.000 0.000 6.358
Li Mg H Ir
3 1 6 2
Cartesian
0.000 2.623 4.691
2.272 1.311 1.667
0.000 0.000 0.000
0.000 0.000 3.179
1.162 3.294 1.775
0.000 1.281 1.775
-1.162 3.294 1.775
2.272 2.653 4.583
1.110 0.641 4.583
3.433 0.641 4.583
2.272 1.311 5.521
0.000 2.623 0.837
```

SG ... P-3m1
Total magnetic moment ... 0.00 μB per formula unit

# LiMg2HIr

Crystalline LiMg2HIr at its relaxed geometry (PBE, the Alexandria database).

Geometry as POSCAR:
```
LiMg2HIr
1.0
4.464 0.000 0.000
0.000 4.464 0.000
0.000 0.000 3.524
H Mg Ir Li
1 2 1 1
Cartesian
0.000 0.000 0.000
0.000 2.232 0.000
2.232 0.000 0.000
0.000 0.000 1.762
2.232 2.232 1.762
```

SG ... P4/mmm
Total magnetic moment ... 0.00 μB per formula unit

# LiMg2HIr

Crystalline LiMg2HIr at its relaxed geometry (PBE, the Alexandria database).

Geometry as POSCAR:
```
LiMg2HIr
1.0
-1.372 3.153 2.737
-2.983 1.276 -2.965
-2.236 -2.130 1.333
H Mg Ir Li
1 2 1 1
Cartesian
0.000 0.000 0.000
-1.492 0.638 -1.483
-0.686 1.577 1.369
-3.296 1.150 0.553
-1.118 -1.065 0.667
```

SG ... P4/mmm
Total magnetic moment ... 0.00 μB per formula unit

Calculated total DFT energy (no corrections) (eV/atom), listed in the same order as above: -5.08, -4.75, -3.65, -4.42, -4.79, -4.15, -3.66, -4.24, -3.91, -3.95, -3.89, -4.57, -3.94, -3.92, -4.31, -4.14, -3.92, -3.68, -3.68
Calculated calculated volume (Å³/cell), listed in the same order as above: 98.3, 98.1, 105.9, 41.4, 120.7, 95.5, 31.8, 83.5, 157.3, 66.7, 126.5, 87.6, 336.5, 166.9, 161.0, 236.4, 113.6, 70.2, 65.0